# Pm5CdPt4, optimized geometry, DFT PBE
# Calculated total energy, eV per atom: -5.811
# DOS(E_F), states/eV per atom: 0.692
# Calculated volume, Å³/atom: 24.06
data_Pm5CdPt4
_cell_length_a 3.6136
_cell_length_b 3.6136
_cell_length_c 18.4267
_cell_angle_alpha 90.00
_cell_angle_beta 90.00
_cell_angle_gamma 90.00
_symmetry_space_group_name_H-M 'P 1'
_symmetry_Int_Tables_number 1
loop_
_symmetry_equiv_pos_as_xyz
'x,y,z'
loop_
_atom_site_label
_atom_site_type_symbol
_atom_site_fract_x
_atom_site_fract_y
_atom_site_fract_z
Pm1 Pm 0.5000 0.5000 0.6923
Pm2 Pm 0.5000 0.5000 0.1174
Pm3 Pm 0.5000 0.5000 0.5000
Pm4 Pm 0.5000 0.5000 0.8826
Pm5 Pm 0.5000 0.5000 0.3077
Pt1 Pt 0.0000 0.0000 0.4036
Pt2 Pt 0.0000 0.0000 0.2065
Pt3 Pt 0.0000 0.0000 0.7935
Pt4 Pt 0.0000 0.0000 0.5964
Cd1 Cd 0.0000 0.0000 0.0000

***

# CeErCu3, optimized geometry, DFT PBE
# Calculated total energy, eV per atom: -4.740
# DOS(E_F), states/eV per atom: 1.368
# Calculated volume, Å³/atom: 19.64
data_CeErCu3
_cell_length_a 3.4803
_cell_length_b 4.3379
_cell_length_c 13.1222
_cell_angle_alpha 90.00
_cell_angle_beta 97.62
_cell_angle_gamma 90.00
_symmetry_space_group_name_H-M 'P 1'
_symmetry_Int_Tables_number 1
loop_
_symmetry_equiv_pos_as_xyz
'x,y,z'
loop_
_atom_site_label
_atom_site_type_symbol
_atom_site_fract_x
_atom_site_fract_y
_atom_site_fract_z
Ce1 Ce 0.9270 0.7500 0.8539
Ce2 Ce 0.0730 0.2500 0.1461
Cu1 Cu 0.5237 0.7500 0.0474
Cu2 Cu 0.4763 0.2500 0.9526
Cu3 Cu 0.3265 0.7500 0.6529
Cu4 Cu 0.6195 0.7500 0.2390
Cu5 Cu 0.3805 0.2500 0.7610
Cu6 Cu 0.6735 0.2500 0.3471
Er1 Er 0.2055 0.7500 0.4110
Er2 Er 0.7945 0.2500 0.5890